1.
{
  "formula": "KHfS3",
  "functional": "PBE",
  "state": "optimized geometry",
  "lattice_angstrom": [[4.929, 4.873, 6.231], [-4.299, 4.026, 7.223], [1.233, -3.345, 8.612]],
  "species": ["K", "K", "K", "K", "Hf", "Hf", "Hf", "Hf", "S", "S", "S", "S", "S", "S", "S", "S", "S", "S", "S", "S"],
  "fractional_positions": [[0.125, 0.125, 0.125], [0.125, 0.625, 0.125], [0.625, 0.125, 0.125], [0.125, 0.125, 0.625], [0.625, 0.625, 0.625], [0.625, 0.125, 0.625], [0.125, 0.625, 0.625], [0.625, 0.625, 0.125], [0.699, 0.301, 0.301], [0.949, 0.551, 0.551], [0.551, 0.551, 0.949], [0.551, 0.949, 0.949], [0.949, 0.551, 0.949], [0.699, 0.301, 0.699], [0.551, 0.949, 0.551], [0.949, 0.949, 0.551], [0.301, 0.699, 0.301], [0.301, 0.699, 0.699], [0.301, 0.301, 0.699], [0.699, 0.699, 0.301]],
  "space_group": "No. 227",
  "relative_energy_mev_per_atom": 254.0,
  "mass_density_g_cm3": 3.64,
  "energy_ev_per_cell": -116.19,
  "e_form_raw_mev_per_atom": -1123
}

---

2.
{
  "formula": "KHfS3",
  "functional": "PBE",
  "state": "optimized geometry",
  "lattice_angstrom": [[-3.676, -0.946, 1.030], [-0.053, -2.800, -2.761], [2.926, -5.431, 5.452]],
  "species": ["K", "Hf", "S", "S", "S"],
  "fractional_positions": [[0.000, 0.000, 0.112], [0.500, 0.500, 0.597], [0.000, 0.000, 0.744], [0.500, 0.000, 0.406], [0.000, 0.500, 0.406]],
  "space_group": "No. 99",
  "relative_energy_mev_per_atom": 539.3,
  "mass_density_g_cm3": 4.09,
  "energy_ev_per_cell": -27.62,
  "e_form_raw_mev_per_atom": -837
}

---

3.
{
  "formula": "KHfS3",
  "functional": "PBE",
  "state": "optimized geometry",
  "lattice_angstrom": [[-19.258, 11.405, 2.079], [-3.559, -5.578, -2.368], [6.728, -5.250, 2.254]],
  "species": ["K", "K", "K", "K", "Hf", "Hf", "Hf", "Hf", "S", "S", "S", "S", "S", "S", "S", "S", "S", "S", "S", "S"],
  "fractional_positions": [[0.403, 0.750, 0.403], [0.597, 0.250, 0.597], [0.097, 0.250, 0.097], [0.903, 0.750, 0.903], [0.138, 0.301, 0.638], [0.862, 0.699, 0.362], [0.362, 0.801, 0.862], [0.638, 0.199, 0.138], [0.224, 0.988, 0.724], [0.776, 0.012, 0.276], [0.276, 0.488, 0.776], [0.724, 0.512, 0.224], [0.366, 0.250, 0.366], [0.634, 0.750, 0.634], [0.134, 0.750, 0.134], [0.866, 0.250, 0.866], [0.543, 0.880, 0.043], [0.457, 0.120, 0.957], [0.957, 0.380, 0.457], [0.043, 0.620, 0.543]],
  "space_group": "No. 64",
  "relative_energy_mev_per_atom": 137.5,
  "mass_density_g_cm3": 4.10,
  "energy_ev_per_cell": -118.52,
  "e_form_raw_mev_per_atom": -1239
}

---

4.
{
  "formula": "KHfS3",
  "functional": "PBE",
  "state": "optimized geometry",
  "lattice_angstrom": [[-0.799, 6.170, -1.628], [0.566, 2.635, 5.839], [6.183, 1.742, -0.305]],
  "species": ["K", "Hf", "S", "S", "S"],
  "fractional_positions": [[0.591, 0.591, 0.591], [0.881, 0.881, 0.881], [0.659, 0.085, 0.659], [0.085, 0.659, 0.659], [0.659, 0.659, 0.085]],
  "space_group": "No. 160",
  "relative_energy_mev_per_atom": 740.5,
  "mass_density_g_cm3": 2.02,
  "energy_ev_per_cell": -26.61,
  "e_form_raw_mev_per_atom": -636
}

---

5.
{
  "formula": "KHfS3",
  "functional": "PBE",
  "state": "optimized geometry",
  "lattice_angstrom": [[-1.734, 0.442, 6.807], [-0.294, -4.849, 3.917], [8.440, -2.650, -1.660]],
  "species": ["S", "S", "S", "S", "S", "S", "Hf", "Hf", "K", "K"],
  "fractional_positions": [[0.670, 0.853, 0.326], [0.044, 0.568, 0.109], [0.621, 0.419, 0.112], [0.461, 0.261, 0.582], [0.413, 0.826, 0.369], [0.039, 0.111, 0.585], [0.041, 0.340, 0.347], [0.541, 0.340, 0.347], [0.967, 0.129, 0.936], [0.116, 0.550, 0.759]],
  "space_group": "No. 2",
  "relative_energy_mev_per_atom": 45.9,
  "mass_density_g_cm3": 3.91,
  "energy_ev_per_cell": -60.17,
  "e_form_raw_mev_per_atom": -1331
}

---

6.
{
  "formula": "KHfS3",
  "functional": "PBE",
  "state": "optimized geometry",
  "lattice_angstrom": [[3.812, 0.000, 0.568], [0.000, 6.666, 0.000], [-1.391, 0.000, 9.334]],
  "species": ["K", "K", "Hf", "Hf", "S", "S", "S", "S", "S", "S"],
  "fractional_positions": [[0.250, 0.250, 0.369], [0.750, 0.750, 0.631], [0.750, 0.250, 0.909], [0.250, 0.750, 0.091], [0.750, 0.496, 0.133], [0.250, 0.504, 0.867], [0.750, 0.004, 0.133], [0.250, 0.996, 0.867], [0.751, 0.250, 0.644], [0.249, 0.750, 0.356]],
  "space_group": "No. 59",
  "relative_energy_mev_per_atom": 216.9,
  "mass_density_g_cm3": 4.30,
  "energy_ev_per_cell": -58.46,
  "e_form_raw_mev_per_atom": -1160
}